{"formula": "VSnIr", "functional": "PBE", "state": "relaxed", "mass_density_g_cm3": 12.045, "dos_ef_per_ev_cell": 3.277, "ef_ev_per_atom": -0.090, "lattice_angstrom": [[-1.4804, 1.4804, 5.6908], [1.4804, -1.4804, 5.6908], [1.4804, 1.4804, -5.6908]], "species": ["V", "Sn", "Ir"], "frac_coords": [[0.0000, 0.0000, 0.0000], [0.6812, 0.6812, 0.0000], [0.3653, 0.3653, 0.0000]]}